Entry 1:
# MnPtBr3 | Alexandria via LeMat-Bulk | PBE | optimized geometry
# E in eV/atom: -3.789
# Formation energy from raw total energies in eV/atom: 0.2563
# Symmetry: Pm-3m, No. 221
# DOS at the Fermi energy in states/eV/f.u.: 3.13
data_MnPtBr3
_chemical_formula_sum 'Mn1 Pt1 Br3'
_cell_length_a 5.1782
_cell_length_b 5.1782
_cell_length_c 5.1782
_cell_angle_alpha 90.00
_cell_angle_beta 90.00
_cell_angle_gamma 90.00
_symmetry_space_group_name_H-M 'P 1'
_symmetry_Int_Tables_number 1
loop_
_symmetry_equiv_pos_as_xyz
'x,y,z'
loop_
_atom_site_label
_atom_site_type_symbol
_atom_site_fract_x
_atom_site_fract_y
_atom_site_fract_z
Mn1 Mn 0.0000 0.0000 0.0000
Pt1 Pt 0.5000 0.5000 0.5000
Br1 Br 0.0000 0.5000 0.5000
Br2 Br 0.5000 0.0000 0.5000
Br3 Br 0.5000 0.5000 0.0000

---

Entry 2:
# HgBMoBr2 | Alexandria via LeMat-Bulk | PBE | optimized geometry
# E in eV/atom: -2.344
# Formation energy from raw total energies in eV/atom: 1.8875
# Symmetry: P4/mmm, No. 123
# DOS at the Fermi energy in states/eV/f.u.: 3.64
data_HgBMoBr2
_chemical_formula_sum 'Hg1 B1 Mo1 Br2'
_cell_length_a 5.5924
_cell_length_b 5.5924
_cell_length_c 5.6597
_cell_angle_alpha 90.00
_cell_angle_beta 90.00
_cell_angle_gamma 90.00
_symmetry_space_group_name_H-M 'P 1'
_symmetry_Int_Tables_number 1
loop_
_symmetry_equiv_pos_as_xyz
'x,y,z'
loop_
_atom_site_label
_atom_site_type_symbol
_atom_site_fract_x
_atom_site_fract_y
_atom_site_fract_z
Hg1 Hg 0.0000 0.0000 0.0000
B1 B 0.5000 0.5000 0.5000
Mo1 Mo 0.0000 0.0000 0.5000
Br1 Br 0.0000 0.5000 0.0000
Br2 Br 0.5000 0.0000 0.0000

---

Number 1: total magnetic moment 5.7 μB per cell, ΔE to the lowest computed polymorph 0.00 eV/f.u.. Number 2: total magnetic moment 5.7 μB per cell, ΔE to the lowest computed polymorph 6.27 eV/f.u..